# 1
VASP calculation (PBE-GGA) on a relaxed structure of K2SmRuO4.

For the uncorrected energy, the calculation gives -50.14 eV for the cell shown. Its calculated volume is 120.4 Å³/f.u. The formation energy from raw total energies is -1.764 eV per atom.

abc: 5.641 3.457 6.501
angles: 90.00 108.23 90.00
Fractional positions:
K  0.000  0.000  0.000
K  0.500  0.500  0.000
Sm  0.000  0.500  0.500
Ru  0.500  0.000  0.500
O  0.251  0.000  0.695
O  0.305  0.500  0.325
O  0.695  0.500  0.675
O  0.749  0.000  0.305


# 2
VASP calculation (PBE-GGA) on a relaxed structure of PmDy2Au2.

The value obtained for the energy above the most stable polymorph in this dataset is 76 meV/atom. The calculation puts the formation energy at -0.61 eV/atom. For the uncorrected energy, the calculation gives -47.11 eV for the cell shown. Its calculated volume is 139.9 Å³/f.u.

abc: 5.290 4.915 10.824
angles: 90.00 96.02 90.00
Fractional positions:
Pm  0.202  0.250  0.237
Pm  0.798  0.750  0.763
Dy  0.248  0.750  0.493
Dy  0.326  0.250  0.888
Dy  0.674  0.750  0.112
Dy  0.752  0.250  0.507
Au  0.160  0.750  0.012
Au  0.279  0.250  0.628
Au  0.721  0.750  0.372
Au  0.840  0.250  0.988


# 3
VASP calculation (PBE-GGA) on a relaxed structure of Nb3GeIr.

The value obtained for the energy above the most stable polymorph in this dataset is 0 meV/atom. The calculation puts the formation energy at 0.91 eV/atom. For the uncorrected energy, the calculation gives -39.13 eV for the cell shown. Its calculated volume is 114.9 Å³/f.u.

abc: 4.861 4.861 4.861
angles: 90.00 90.00 90.00
Fractional positions:
Nb  0.000  0.000  0.500
Nb  0.000  0.500  0.000
Nb  0.500  0.000  0.000
Ge  0.500  0.500  0.500
Ir  0.000  0.000  0.000